1.
Material: CoHg2Mo2
Method: DFT, PBE
State: optimized geometry

Cell: 7.844 7.844 3.121 Å, 90.00 90.00 90.00°
Atoms (fractional coordinates):
Co1 0.000 0.000 0.000
Co2 0.500 0.500 0.000
Hg1 0.191 0.309 0.000
Hg2 0.309 0.809 0.000
Hg3 0.691 0.191 0.000
Hg4 0.809 0.691 0.000
Mo1 0.103 0.603 0.500
Mo2 0.397 0.103 0.500
Mo3 0.603 0.897 0.500
Mo4 0.897 0.397 0.500

## Properties
formation energy from the elements = 4.83 eV/f.u.
excess energy over the best structure of this formula in the dataset = 133.0 meV/atom

***

2.
Material: Li2BeSb
Method: DFT, PBE
State: optimized geometry

Cell: 3.196 4.118 5.523 Å, 90.00 105.49 90.00°
Atoms (fractional coordinates):
Li1 0.000 0.000 0.000
Li2 0.330 0.500 0.687
Be1 0.737 0.000 0.496
Sb1 0.613 0.500 0.235

## Properties
excess energy over the best structure of this formula in the dataset = 56.3 meV/atom
formation energy without anion corrections = -0.075 eV per atom

***

3.
Material: DyIn3Hg3
Method: DFT, PBE
State: optimized geometry

Cell: 8.981 8.981 5.133 Å, 90.00 90.00 120.00°
Atoms (fractional coordinates):
Dy1 0.333 0.667 0.250
Dy2 0.667 0.333 0.750
In1 0.068 0.245 0.250
In2 0.177 0.932 0.250
In3 0.245 0.177 0.750
In4 0.755 0.823 0.250
In5 0.823 0.068 0.750
In6 0.932 0.755 0.750
Hg1 0.095 0.487 0.750
Hg2 0.392 0.905 0.750
Hg3 0.487 0.392 0.250
Hg4 0.513 0.608 0.750
Hg5 0.608 0.095 0.250
Hg6 0.905 0.513 0.250

## Properties
formation energy from the elements = -1.01 eV/f.u.
excess energy over the best structure of this formula in the dataset = 0.0 meV/atom

***

Number 1: DFT total energy -4.908 eV/atom, Fermi-level density of states 5.1 states/eV/f.u.. Number 2: DFT total energy -2.994 eV/atom, Fermi-level density of states 0.6 states/eV/f.u.. Number 3: DFT total energy -2.104 eV/atom, Fermi-level density of states 4.2 states/eV/f.u..